[1]
A relaxed YTm3Th3 crystal. Source: Alexandria, functional PBE.

a = 5.763 Å, b = 9.457 Å, c = 9.457 Å
α = 120.00°, β = 90.00°, γ = 90.00°
Atoms (fractional coordinates):
Tm 0.250 0.193 0.236
Tm 0.750 0.236 0.043
Tm 0.750 0.957 0.193
Tm 0.750 0.807 0.764
Tm 0.250 0.764 0.957
Tm 0.250 0.043 0.807
Th 0.750 0.516 0.897
Th 0.250 0.897 0.381
Th 0.250 0.484 0.103
Th 0.750 0.381 0.484
Th 0.750 0.103 0.619
Th 0.250 0.619 0.516
Y 0.250 0.333 0.667
Y 0.750 0.667 0.333

Relative energy among the computed polymorphs in meV/atom: 13
Density of states at the Fermi level in states/eV/cell: 19.96
Symmetry: P6_3/m (176)
Energy in eV per atom: -5.97



[2]
A relaxed Pm2Y8Mg crystal. Source: Alexandria, functional PBE.

a = 5.742 Å, b = 9.952 Å, c = 9.952 Å
α = 40.69°, β = 92.08°, γ = 92.08°
Atoms (fractional coordinates):
Y 0.260 0.138 0.610
Y 0.740 0.390 0.862
Y 0.766 0.823 0.823
Y 0.233 0.550 0.550
Y 0.740 0.862 0.390
Y 0.260 0.610 0.138
Y 0.767 0.450 0.450
Y 0.234 0.177 0.177
Pm 0.744 0.281 0.281
Pm 0.256 0.719 0.719
Mg 0.000 0.000 0.000

Relative energy among the computed polymorphs in meV/atom: 112
Density of states at the Fermi level in states/eV/cell: 18.45
Symmetry: C2/m (12)
Energy in eV per atom: -5.57



[3]
A relaxed SrNi2Rh crystal. Source: Alexandria, functional PBE.

a = 4.167 Å, b = 4.170 Å, c = 3.834 Å
α = 90.00°, β = 90.00°, γ = 90.00°
Atoms (fractional coordinates):
Sr 0.000 0.500 0.500
Ni 0.500 0.500 0.000
Ni 0.000 0.000 0.000
Rh 0.500 0.000 0.500

Relative energy among the computed polymorphs in meV/atom: 467
Density of states at the Fermi level in states/eV/cell: 5.12
Symmetry: P4/mmm (123)
Energy in eV per atom: -4.79



[4]
A relaxed Cr2AgMo crystal. Source: Alexandria, functional PBE.

a = 4.642 Å, b = 4.642 Å, c = 5.026 Å
α = 85.19°, β = 85.19°, γ = 32.06°
Atoms (fractional coordinates):
Cr 0.004 0.004 0.002
Cr 0.496 0.496 0.498
Ag 0.750 0.750 0.750
Mo 0.250 0.250 0.250

Relative energy among the computed polymorphs in meV/atom: 261
Density of states at the Fermi level in states/eV/cell: 3.61
Symmetry: C2/m (12)
Energy in eV per atom: -7.62



[5]
A relaxed NbCo2Si crystal. Source: Alexandria, functional PBE.

a = 2.721 Å, b = 2.736 Å, c = 7.169 Å
α = 112.42°, β = 90.00°, γ = 90.00°
Atoms (fractional coordinates):
Si 0.500 0.000 0.500
Nb 0.500 0.500 0.000
Co 0.000 0.704 0.704
Co 0.000 0.296 0.296

Relative energy among the computed polymorphs in meV/atom: 0
Density of states at the Fermi level in states/eV/cell: 1.59
Symmetry: Pmmm (47)
Energy in eV per atom: -7.86



[6]
A relaxed Tb4TlCo crystal. Source: Alexandria, functional PBE.

a = 9.599 Å, b = 9.599 Å, c = 9.599 Å
α = 60.00°, β = 60.00°, γ = 60.00°
Atoms (fractional coordinates):
Tb 0.561 0.939 0.939
Tb 0.403 0.403 0.403
Tb 0.403 0.790 0.403
Tb 0.939 0.561 0.939
Tb 0.403 0.403 0.790
Tb 0.191 0.809 0.809
Tb 0.809 0.191 0.191
Tb 0.809 0.191 0.809
Tb 0.561 0.939 0.561
Tb 0.939 0.939 0.561
Tb 0.561 0.561 0.939
Tb 0.790 0.403 0.403
Tb 0.809 0.809 0.191
Tb 0.191 0.191 0.809
Tb 0.191 0.809 0.191
Tb 0.939 0.561 0.561
Co 0.609 0.172 0.609
Co 0.609 0.609 0.609
Co 0.172 0.609 0.609
Co 0.609 0.609 0.172
Tl 0.165 0.165 0.165
Tl 0.505 0.165 0.165
Tl 0.165 0.165 0.505
Tl 0.165 0.505 0.165

Relative energy among the computed polymorphs in meV/atom: 0
Density of states at the Fermi level in states/eV/cell: 17.82
Symmetry: F-43m (216)
Energy in eV per atom: -4.92



[7]
A relaxed RbSr2Bi2 crystal. Source: Alexandria, functional PBE.

a = 9.975 Å, b = 9.975 Å, c = 3.928 Å
α = 90.00°, β = 90.00°, γ = 90.00°
Atoms (fractional coordinates):
Sr 0.132 0.368 0.000
Sr 0.368 0.868 0.000
Sr 0.868 0.632 0.000
Sr 0.632 0.132 0.000
Bi 0.665 0.835 0.500
Bi 0.335 0.165 0.500
Bi 0.165 0.665 0.500
Bi 0.835 0.335 0.500
Rb 0.500 0.500 0.000
Rb 0.000 0.000 0.000

Relative energy among the computed polymorphs in meV/atom: 0
Density of states at the Fermi level in states/eV/cell: 1.57
Symmetry: P4/mbm (127)
Energy in eV per atom: -3.12



[8]
A relaxed TmBiIr crystal. Source: Alexandria, functional PBE.

a = 3.761 Å, b = 3.761 Å, c = 5.595 Å
α = 109.64°, β = 109.64°, γ = 90.00°
Atoms (fractional coordinates):
Bi 0.619 0.619 0.238
Tm 0.310 0.310 0.620
Ir 0.921 0.921 0.842

Density of states at the Fermi level in states/eV/cell: 1.39
Symmetry: I4mm (107)
Energy in eV per atom: -6.01



[9]
A relaxed CaMg3In crystal. Source: Alexandria, functional PBE.

a = 5.980 Å, b = 5.980 Å, c = 5.980 Å
α = 90.00°, β = 90.00°, γ = 90.00°
Atoms (fractional coordinates):
Mg 0.000 0.000 0.500
Mg 0.000 0.500 0.000
Mg 0.500 0.000 0.000
In 0.500 0.500 0.500
Ca 0.000 0.000 0.000

Relative energy among the computed polymorphs in meV/atom: 845
Density of states at the Fermi level in states/eV/cell: 7.48
Symmetry: Pm-3m (221)
Energy in eV per atom: -1.06



[10]
A relaxed MgC2I crystal. Source: Alexandria, functional PBE.

a = 4.320 Å, b = 4.320 Å, c = 4.320 Å
α = 60.00°, β = 60.00°, γ = 60.00°
Atoms (fractional coordinates):
Mg 0.000 0.000 0.000
C 0.250 0.250 0.250
C 0.750 0.750 0.750
I 0.500 0.500 0.500

Relative energy among the computed polymorphs in meV/atom: 522
Density of states at the Fermi level in states/eV/cell: 2.70
Symmetry: Fm-3m (225)
Energy in eV per atom: -3.00



[11]
A relaxed PmTm4Mg5 crystal. Source: Alexandria, functional PBE.

a = 3.763 Å, b = 3.763 Å, c = 19.001 Å
α = 90.00°, β = 90.00°, γ = 90.00°
Atoms (fractional coordinates):
Mg 0.500 0.500 0.697
Mg 0.500 0.500 0.303
Mg 0.500 0.500 0.500
Mg 0.500 0.500 0.893
Mg 0.500 0.500 0.107
Pm 0.000 0.000 0.000
Tm 0.000 0.000 0.402
Tm 0.000 0.000 0.795
Tm 0.000 0.000 0.205
Tm 0.000 0.000 0.598

Density of states at the Fermi level in states/eV/cell: 13.60
Symmetry: P4/mmm (123)
Energy in eV per atom: -3.13



[12]
A relaxed Si3Br crystal. Source: Alexandria, functional PBE.

a = 3.815 Å, b = 3.815 Å, c = 7.611 Å
α = 103.91°, β = 103.91°, γ = 60.75°
Atoms (fractional coordinates):
Si 0.886 0.886 0.654
Si 0.114 0.114 0.346
Si 0.500 0.500 0.500
Br 0.000 0.000 0.000

Relative energy among the computed polymorphs in meV/atom: 0
Density of states at the Fermi level in states/eV/cell: 1.79
Symmetry: C2/m (12)
Energy in eV per atom: -4.23